1.
9
Lattice="4.307 0.000 0.000 0.000 4.307 0.000 0.000 0.000 8.471" Properties=species:S:1:pos:R:3 comment="K2Bi2O5, optimized geometry, DFT PBEsol" total_magnetization_mub_per_fu=0.00 dft_energy_ev_per_atom=-5.33 formation_energy_uncorrected_mev_per_atom=-1206.8 dos_ef_per_ev_fu=1.05 pbc="T T T"
K 0.000 0.000 0.000
K 0.000 0.000 4.236
Bi 2.154 2.154 2.092
Bi 2.154 2.154 6.380
O 0.000 2.154 2.374
O 0.000 2.154 6.097
O 2.154 0.000 2.374
O 2.154 0.000 6.097
O 2.154 2.154 0.000


2.
40
Lattice="6.851 -6.691 0.000 6.851 6.691 0.000 -2.833 0.000 6.180" Properties=species:S:1:pos:R:3 comment="K3Bi2P3O12, optimized geometry, DFT PBEsol" total_magnetization_mub_per_fu=0.00 dft_energy_ev_per_atom=-6.73 formation_energy_uncorrected_mev_per_atom=-2114.3 dos_ef_per_ev_fu=0.00 pbc="T T T"
K 0.000 0.000 0.000
K -1.416 0.000 3.090
K 4.727 3.687 4.635
K 4.727 0.188 4.635
K 6.143 -0.188 1.545
K 6.143 -3.687 1.545
Bi 1.216 1.943 5.129
Bi 2.633 -1.943 2.039
Bi 8.237 1.943 4.140
Bi 9.654 -1.943 1.050
P 2.529 1.414 2.245
P 6.143 3.283 1.545
P 1.112 -1.414 5.335
P 9.757 1.414 0.845
P 4.727 -3.283 4.635
P 8.341 -1.414 3.935
O 2.716 2.395 1.030
O 1.084 0.886 2.303
O 4.972 4.188 1.988
O 2.853 2.183 3.567
O -0.332 -0.886 5.393
O 7.314 4.188 1.102
O 5.787 2.333 0.351
O 3.555 0.263 2.087
O 2.138 -0.263 5.177
O 6.500 2.333 2.738
O 1.300 -2.395 4.120
O 4.270 -2.183 0.477
O 6.600 2.183 5.703
O 9.570 2.395 2.060
O 4.370 -2.333 3.441
O 8.732 0.263 1.003
O 7.315 -0.263 4.093
O 5.083 -2.333 5.828
O 3.555 -4.188 5.078
O 11.202 0.886 0.786
O 8.017 -2.183 2.613
O 5.898 -4.188 4.192
O 9.785 -0.886 3.876
O 8.153 -2.395 5.150


3.
72
Lattice="10.473 0.000 0.000 0.000 9.043 0.000 -7.535 0.000 10.384" Properties=species:S:1:pos:R:3 comment="KBiP4O12, optimized geometry, DFT PBEsol" total_magnetization_mub_per_fu=0.00 dft_energy_ev_per_atom=-7.20 formation_energy_uncorrected_mev_per_atom=-2108.8 dos_ef_per_ev_fu=0.00 pbc="T T T"
K -0.863 0.661 4.722
K -4.630 3.860 9.914
K 7.569 5.183 0.470
K 3.801 8.382 5.662
Bi -3.226 6.561 7.130
Bi 0.542 7.003 1.938
Bi 2.397 2.040 8.445
Bi 6.164 2.482 3.253
P -4.523 0.855 7.885
P -0.755 3.667 2.693
P 0.827 1.535 1.483
P -2.940 2.986 6.675
P -0.458 5.479 5.008
P -4.225 8.086 10.200
P 3.283 0.197 2.437
P -0.484 4.325 7.629
P 3.422 4.718 2.755
P -0.345 8.846 7.947
P 7.163 0.957 0.184
P 3.396 3.564 5.376
P 5.879 6.057 3.709
P 2.111 7.508 8.901
P 3.694 5.376 7.690
P 7.461 8.188 2.499
O -5.531 6.186 7.841
O -1.763 7.379 2.650
O -0.575 4.848 1.787
O -4.342 8.716 6.978
O 0.739 2.128 0.110
O -3.028 2.394 5.302
O 0.068 0.305 1.887
O -3.699 4.216 7.079
O -1.850 5.906 5.350
O 1.917 7.658 0.158
O -3.258 1.854 7.777
O 0.509 2.667 2.585
O -4.308 0.449 9.415
O -0.540 4.072 4.223
O 0.465 6.431 4.310
O -3.302 7.134 9.501
O 2.405 1.374 1.773
O -1.363 3.147 6.965
O 2.371 5.327 1.880
O -1.396 8.237 7.072
O -1.389 5.333 8.285
O 2.378 8.232 3.093
O 0.269 4.952 6.347
O 4.036 8.613 1.155
O -1.098 0.430 9.228
O 2.670 4.091 4.037
O 0.560 0.811 7.291
O 4.328 3.710 2.099
O 4.334 0.806 3.312
O 0.567 3.716 8.504
O 4.301 5.896 3.419
O 0.533 7.669 8.611
O 6.240 1.909 0.882
O 2.473 2.612 6.074
O 3.478 4.971 6.160
O 7.246 8.594 0.968
O 2.429 6.376 7.799
O 6.196 7.189 2.607
O 1.021 1.385 10.226
O 4.788 3.137 5.034
O 6.638 4.827 3.305
O 2.870 8.738 8.496
O 5.966 6.649 5.081
O 2.199 6.915 10.273
O 7.281 0.327 3.405
O 3.513 4.195 8.597
O 4.702 1.664 7.734
O 8.469 2.857 2.542


Repeat the first record exactly.
9
Lattice="4.307 0.000 0.000 0.000 4.307 0.000 0.000 0.000 8.471" Properties=species:S:1:pos:R:3 comment="K2Bi2O5, optimized geometry, DFT PBEsol" total_magnetization_mub_per_fu=0.00 dft_energy_ev_per_atom=-5.33 formation_energy_uncorrected_mev_per_atom=-1206.8 dos_ef_per_ev_fu=1.05 pbc="T T T"
K 0.000 0.000 0.000
K 0.000 0.000 4.236
Bi 2.154 2.154 2.092
Bi 2.154 2.154 6.380
O 0.000 2.154 2.374
O 0.000 2.154 6.097
O 2.154 0.000 2.374
O 2.154 0.000 6.097
O 2.154 2.154 0.000